A relaxed structure of Er2ScC2. Source: Alexandria, functional PBE.

abc: 11.2210 5.0149 7.0382
angles: 90.00 111.92 90.00
Space group C2/m (No. 12)
One atom of each set of equivalent atoms:
Er 0.0119 0.0000 0.2378 x4
Er 0.1660 0.5000 0.0764 x4
Sc 0.1484 0.5000 0.6013 x4
C 0.0054 0.5000 0.2694 x4
C 0.1736 0.0000 0.0995 x4

## Properties
* V: 18.4 Å³ per atom
* uncorrected energy: -7.10 eV/atom
* ΔE_f: -30.5 kJ per mole of atoms
* crystal system: monoclinic

A relaxed structure of CaCr3Ag. Source: Alexandria, functional PBE.

abc: 5.0833 5.0833 5.0833
angles: 90.00 90.00 90.00
Space group Pm-3m (No. 221)
One atom of each set of equivalent atoms:
Ca 0.0000 0.0000 0.0000 x1
Cr 0.0000 0.5000 0.5000 x3
Ag 0.5000 0.5000 0.5000 x1

## Properties
* V: 26.3 Å³ per atom
* uncorrected energy: -5.58 eV/atom
* ΔE_f: 112.6 kJ per mole of atoms
* crystal system: cubic

A relaxed structure of NaSmCo4. Source: Alexandria, functional PBE.

abc: 7.1664 7.1664 7.1664
angles: 90.00 90.00 90.00
Space group F-43m (No. 216)
One atom of each set of equivalent atoms:
Na 0.0000 0.0000 0.0000 x4
Sm 0.2500 0.2500 0.7500 x4
Co 0.1251 0.1251 0.3749 x16

## Properties
* V: 15.3 Å³ per atom
* uncorrected energy: -5.59 eV/atom
* ΔE_f: 14.4 kJ per mole of atoms
* crystal system: cubic

A relaxed structure of Tb2PmTmIn4. Source: Alexandria, functional PBE.

abc: 5.3372 5.3372 26.2492
angles: 90.00 90.00 120.00
Space group R-3m (No. 166, hexagonal axes)
One atom of each set of equivalent atoms:
Tb 0.0000 0.0000 0.2493 x6
Pm 0.0000 0.0000 0.0000 x3
Tm 0.0000 0.0000 0.5000 x3
In 0.0000 0.0000 0.1264 x6
In 0.0000 0.0000 0.3765 x6

## Properties
* V: 27.0 Å³ per atom
* uncorrected energy: -4.15 eV/atom
* ΔE_f: -44.9 kJ per mole of atoms
* crystal system: trigonal

A relaxed structure of FeAg2Cl4. Source: Alexandria, functional PBE.

abc: 12.2321 3.5181 7.1865
angles: 90.00 109.69 90.00
Space group C2/m (No. 12)
One atom of each set of equivalent atoms:
Fe 0.0000 0.0000 0.0000 x2
Ag 0.1254 0.5000 0.5885 x4
Cl 0.1014 0.5000 0.9227 x4
Cl 0.1330 0.0000 0.3147 x4

## Properties
* V: 20.8 Å³ per atom
* uncorrected energy: -3.46 eV/atom
* energy relative to the elements, uncorrected: -0.380 eV/atom
* crystal system: monoclinic

A relaxed structure of Sr2PrTlCu2O7. Source: Alexandria, functional PBE.

abc: 3.8681 3.8681 12.3023
angles: 90.00 90.00 90.00
Space group P4/mmm (No. 123)
One atom of each set of equivalent atoms:
Sr 0.0000 0.0000 0.2032 x2
Pr 0.0000 0.0000 0.5000 x1
Tl 0.5000 0.5000 0.0000 x1
Cu 0.5000 0.5000 0.3547 x2
O 0.0000 0.0000 0.0000 x1
O 0.0000 0.5000 0.3716 x4
O 0.5000 0.5000 0.1716 x2

## Properties
* V: 14.2 Å³ per atom
* uncorrected energy: -5.93 eV/atom
* energy relative to the elements, uncorrected: -1.826 eV/atom
* crystal system: tetragonal

A relaxed structure of LiCu6P2. Source: Alexandria, functional PBE.

abc: 3.8961 3.8961 7.9159
angles: 90.00 90.00 90.00
Space group P4/mmm (No. 123)
One atom of each set of equivalent atoms:
Li 0.0000 0.0000 0.0000 x1
Cu 0.0000 0.0000 0.5000 x1
Cu 0.0000 0.5000 0.2877 x4
Cu 0.5000 0.5000 0.5000 x1
P 0.5000 0.5000 0.1393 x2

## Properties
* V: 13.4 Å³ per atom
* uncorrected energy: -4.28 eV/atom
* ΔE_f: -13.3 kJ per mole of atoms
* crystal system: tetragonal

A relaxed structure of SbAsPb3. Source: Alexandria, functional PBE.

abc: 5.6048 5.6048 5.6048
angles: 90.00 90.00 90.00
Space group Pm-3m (No. 221)
One atom of each set of equivalent atoms:
Sb 0.0000 0.0000 0.0000 x1
As 0.5000 0.5000 0.5000 x1
Pb 0.0000 0.5000 0.5000 x3

## Properties
* V: 35.2 Å³ per atom
* uncorrected energy: -3.61 eV/atom
* energy relative to the elements, uncorrected: 0.365 eV/atom
* crystal system: cubic